# 1
8
Lattice="7.929 0.000 0.000 0.000 4.584 0.000 -2.639 0.000 7.479" Properties=species:S:1:pos:R:3 comment="PBE Nd2SmPuBi4, relaxed" m_tot_mub_per_cell=5.1 sg="No. 10" e_tot_ev_per_cell=-50.36 formation_enthalpy_0k_ev_per_fu=-6.25 pbc="T T T"
Nd 0.000 0.000 0.000
Nd -1.320 2.292 3.739
Sm 2.645 0.000 3.739
Pu 3.964 2.292 0.000
Bi 1.356 2.292 1.870
Bi 0.036 0.000 5.632
Bi 5.253 0.000 1.847
Bi 3.933 2.292 5.609

=====

# 2
8
Lattice="7.901 0.000 0.000 0.000 4.560 0.000 -2.632 0.000 7.454" Properties=species:S:1:pos:R:3 comment="PBE NdSmPu2Bi4, relaxed" m_tot_mub_per_cell=10.2 sg="No. 10" e_tot_ev_per_cell=-58.69 formation_enthalpy_0k_ev_per_fu=-5.02 pbc="T T T"
Nd 0.000 0.000 0.000
Sm 3.951 2.280 0.000
Pu -1.316 2.280 3.727
Pu 2.635 0.000 3.727
Bi 0.014 0.000 5.557
Bi 1.330 2.280 1.905
Bi 3.939 2.280 5.548
Bi 5.255 0.000 1.897

=====

# 3
8
Lattice="7.909 0.000 0.000 0.000 4.570 0.000 -2.633 0.000 7.459" Properties=species:S:1:pos:R:3 comment="PBE NdSm2PuBi4, relaxed" m_tot_mub_per_cell=5.1 sg="No. 10" e_tot_ev_per_cell=-50.27 formation_enthalpy_0k_ev_per_fu=-6.21 pbc="T T T"
Nd 0.000 0.000 0.000
Sm -1.316 2.285 3.729
Sm 2.638 0.000 3.729
Pu 3.954 2.285 0.000
Bi 0.024 0.000 5.599
Bi 1.341 2.285 1.874
Bi 5.252 0.000 1.860
Bi 3.935 2.285 5.585

=====

# 4
8
Lattice="7.853 0.000 0.000 0.000 4.539 0.000 -2.616 0.000 7.408" Properties=species:S:1:pos:R:3 comment="PBE Tb2NdPuBi4, relaxed" m_tot_mub_per_cell=5.1 sg="No. 10" e_tot_ev_per_cell=-49.90 formation_enthalpy_0k_ev_per_fu=-6.02 pbc="T T T"
Tb 0.000 0.000 0.000
Tb -1.308 2.269 3.704
Nd 2.619 0.000 3.704
Pu 3.926 2.269 0.000
Bi 1.276 2.269 1.818
Bi -0.032 0.000 5.565
Bi 5.270 0.000 1.843
Bi 3.961 2.269 5.589

=====

# 5
8
Lattice="7.874 0.000 0.000 0.000 4.543 0.000 -2.623 0.000 7.428" Properties=species:S:1:pos:R:3 comment="PBE TbNdPu2Bi4, relaxed" m_tot_mub_per_cell=10.2 sg="No. 10" e_tot_ev_per_cell=-58.50 formation_enthalpy_0k_ev_per_fu=-4.92 pbc="T T T"
Tb 0.000 0.000 0.000
Nd 3.937 2.272 0.000
Pu -1.312 2.272 3.714
Pu 2.625 0.000 3.714
Bi -0.028 0.000 5.541
Bi 1.284 2.272 1.867
Bi 3.967 2.272 5.561
Bi 5.278 0.000 1.887

=====

# 6
9
Lattice="5.773 0.000 0.000 0.000 5.773 0.000 0.000 0.000 11.927" Properties=species:S:1:pos:R:3 comment="PBE Nd2PuThBi5, relaxed" m_tot_mub_per_cell=5.2 sg="No. 123" e_tot_ev_per_cell=-49.39 formation_enthalpy_0k_ev_per_fu=1.30 pbc="T T T"
Nd 0.000 0.000 2.495
Nd 0.000 0.000 9.432
Pu 2.887 2.887 5.964
Th 2.887 2.887 0.000
Bi 0.000 0.000 5.964
Bi 0.000 2.887 0.000
Bi 2.887 0.000 0.000
Bi 2.887 2.887 3.033
Bi 2.887 2.887 8.894

=====

# 7
8
Lattice="7.907 0.000 0.000 0.000 4.582 0.000 -2.652 0.000 7.495" Properties=species:S:1:pos:R:3 comment="PBE NdPu2ThBi4, relaxed" m_tot_mub_per_cell=0.1 sg="No. 10" e_tot_ev_per_cell=-60.90 formation_enthalpy_0k_ev_per_fu=-4.53 pbc="T T T"
Nd 0.000 0.000 0.000
Pu 2.627 0.000 3.747
Pu 3.954 2.291 0.000
Th -1.326 2.291 3.747
Bi 0.014 0.000 5.631
Bi 1.343 2.291 1.892
Bi 5.241 0.000 1.864
Bi 3.912 2.291 5.603

=====

# 8
8
Lattice="7.939 0.000 0.000 0.000 4.601 0.000 -2.665 0.000 7.499" Properties=species:S:1:pos:R:3 comment="PBE NdPuTh2Bi4, relaxed" m_tot_mub_per_cell=5.8 sg="No. 10" e_tot_ev_per_cell=-54.58 formation_enthalpy_0k_ev_per_fu=-5.12 pbc="T T T"
Nd 0.000 0.000 0.000
Pu -1.332 2.300 3.749
Th 2.637 0.000 3.749
Th 3.970 2.300 0.000
Bi -0.024 0.000 5.607
Bi 1.310 2.300 1.884
Bi 3.964 2.300 5.615
Bi 5.298 0.000 1.892

=====

# 9
8
Lattice="7.850 0.000 0.000 0.000 4.531 0.000 -2.618 0.000 7.404" Properties=species:S:1:pos:R:3 comment="PBE NdTmPu2Bi4, relaxed" m_tot_mub_per_cell=10.2 sg="No. 10" e_tot_ev_per_cell=-58.13 formation_enthalpy_0k_ev_per_fu=-4.70 pbc="T T T"
Nd 0.000 0.000 0.000
Tm 3.925 2.266 0.000
Pu -1.309 2.266 3.702
Pu 2.616 0.000 3.702
Bi 0.044 0.000 5.565
Bi 1.353 2.266 1.870
Bi 3.879 2.266 5.534
Bi 5.188 0.000 1.839

=====

# 10
8
Lattice="7.873 0.000 0.000 0.000 4.555 0.000 -2.621 0.000 7.428" Properties=species:S:1:pos:R:3 comment="PBE Nd2TmPuBi4, relaxed" m_tot_mub_per_cell=5.1 sg="No. 10" e_tot_ev_per_cell=-49.79 formation_enthalpy_0k_ev_per_fu=-5.93 pbc="T T T"
Nd 0.000 0.000 0.000
Nd -1.310 2.278 3.714
Tm 2.626 0.000 3.714
Pu 3.936 2.278 0.000
Bi 0.067 0.000 5.572
Bi 1.377 2.278 1.902
Bi 3.875 2.278 5.526
Bi 5.186 0.000 1.856

=====

# 11
4
Lattice="2.301 1.329 9.238 -2.301 1.329 9.238 0.000 -2.658 9.238" Properties=species:S:1:pos:R:3 comment="PBE RbNdBi2, relaxed" m_tot_mub_per_cell=0.0 sg="No. 160" e_tot_ev_per_cell=-15.02 formation_enthalpy_0k_ev_per_fu=-1.52 pbc="T T T"
Rb 0.000 0.000 0.000
Nd 0.000 0.000 4.689
Bi 0.000 0.000 15.774
Bi 0.000 0.000 21.283

=====

# 12
4
Lattice="4.340 0.000 0.000 0.000 4.340 0.000 0.000 0.000 8.106" Properties=species:S:1:pos:R:3 comment="PBE RbNdBi2, relaxed" m_tot_mub_per_cell=0.0 sg="No. 123" e_tot_ev_per_cell=-15.70 formation_enthalpy_0k_ev_per_fu=-2.20 pbc="T T T"
Rb 0.000 0.000 0.000
Nd 0.000 0.000 4.053
Bi 2.170 2.170 2.503
Bi 2.170 2.170 5.603